[1]
Compound: GaTeI2F
Source: the Alexandria database
Functional: PBEsol
Structure: optimized geometry

Its final energy is -0.09889 Ha/atom.

Lattice parameters (Å, degrees): 4.207 5.860 5.860 90.00 90.00 90.00
Positions (direct):
I: 0.000 0.000 0.500
I: 0.000 0.500 0.000
Te: 0.500 0.000 0.000
Ga: 0.500 0.500 0.500
F: 0.000 0.000 0.000

=====

[2]
Compound: ZrGaI2F
Source: the Alexandria database
Functional: PBEsol
Structure: optimized geometry

Its final energy is -0.15706 Ha/atom.

Lattice parameters (Å, degrees): 4.023 5.826 5.826 90.00 90.00 90.00
Positions (direct):
I: 0.000 0.000 0.500
I: 0.000 0.500 0.000
Ga: 0.500 0.500 0.500
Zr: 0.500 0.000 0.000
F: 0.000 0.000 0.000

=====

[3]
Compound: InGa3F
Source: the Alexandria database
Functional: PBEsol
Structure: optimized geometry

Its final energy is -0.10063 Ha/atom.

Lattice parameters (Å, degrees): 5.248 5.248 5.248 90.00 90.00 90.00
Positions (direct):
F: 0.500 0.500 0.500
Ga: 0.000 0.500 0.000
Ga: 0.000 0.000 0.500
Ga: 0.500 0.000 0.000
In: 0.000 0.000 0.000

=====

[4]
Compound: K2InGaF6
Source: the Alexandria database
Functional: PBEsol
Structure: optimized geometry

Its final energy is -0.16684 Ha/atom.

Lattice parameters (Å, degrees): 6.246 6.246 6.246 60.00 60.00 60.00
Positions (direct):
K: 0.250 0.250 0.250
K: 0.750 0.750 0.750
F: 0.284 0.716 0.284
F: 0.284 0.284 0.716
F: 0.716 0.716 0.284
F: 0.716 0.284 0.284
F: 0.284 0.716 0.716
F: 0.716 0.284 0.716
Ga: 0.500 0.500 0.500
In: 0.000 0.000 0.000

=====

[5]
Compound: InGaNF2
Source: the Alexandria database
Functional: PBEsol
Structure: optimized geometry

Its final energy is -0.17655 Ha/atom.

Lattice parameters (Å, degrees): 3.901 3.987 3.987 90.00 90.00 90.00
Positions (direct):
N: 0.500 0.000 0.000
F: 0.000 0.000 0.500
F: 0.000 0.500 0.000
Ga: 0.000 0.000 0.000
In: 0.500 0.500 0.500

=====

[6]
Compound: Ga3IrF
Source: the Alexandria database
Functional: PBEsol
Structure: optimized geometry

Its final energy is -0.16073 Ha/atom.

Lattice parameters (Å, degrees): 4.247 4.247 4.247 90.00 90.00 90.00
Positions (direct):
Ir: 0.500 0.500 0.500
Ga: 0.000 0.500 0.000
Ga: 0.000 0.000 0.500
Ga: 0.500 0.000 0.000
F: 0.000 0.000 0.000

=====

[7]
Compound: GaIrF2
Source: the Alexandria database
Functional: PBEsol
Structure: optimized geometry

Its final energy is -0.19111 Ha/atom.

Lattice parameters (Å, degrees): 2.688 2.688 8.041 80.38 80.38 60.00
Positions (direct):
Ir: 0.000 0.000 0.000
Ga: 0.500 0.500 0.500
F: 0.916 0.916 0.251
F: 0.084 0.084 0.749

=====

[8]
Compound: YGa2IrF
Source: the Alexandria database
Functional: PBEsol
Structure: optimized geometry

Its final energy is -0.17851 Ha/atom.

Lattice parameters (Å, degrees): 3.977 5.327 5.327 90.00 90.00 90.00
Positions (direct):
Y: 0.000 0.000 0.000
Ir: 0.500 0.500 0.500
Ga: 0.000 0.000 0.500
Ga: 0.000 0.500 0.000
F: 0.500 0.000 0.000

=====

- Which formula does entry 3 have?
  InGa3F